Ho2Sc4Sb3N2: relaxed, PBE.

a = 4.380 Å, b = 4.380 Å, c = 12.547 Å
α = 100.05°, β = 100.05°, γ = 90.00°
Fractional positions:
1 Sc 0.417 0.917 0.834
2 Sc 0.917 0.417 0.834
3 Sc 0.083 0.583 0.166
4 Sc 0.583 0.083 0.166
5 Ho 0.692 0.692 0.384
6 Ho 0.308 0.308 0.616
7 Sb 0.000 0.000 0.000
8 Sb 0.823 0.823 0.645
9 Sb 0.177 0.177 0.355
10 N 0.404 0.404 0.808
11 N 0.596 0.596 0.192

Properties
Fermi-level density of states = 6.2 states/eV/cell
raw formation energy = -1.242 eV per atom
calculated volume = 21.201 Å³/atom